# BeCN, optimized geometry, DFT PBE
data_BeCN
_chemical_formula_sum 'Be1 C1 N1'
_space_group_name_H-M_alt 'P 1'
_space_group_IT_number 1
_cell_length_a 2.738
_cell_length_b 2.791
_cell_length_c 3.924
_cell_angle_alpha 104.68
_cell_angle_beta 104.20
_cell_angle_gamma 106.92
loop_
_space_group_symop_operation_xyz
'x,y,z'
loop_
_atom_site_label
_atom_site_type_symbol
_atom_site_fract_x
_atom_site_fract_y
_atom_site_fract_z
Be1 Be 0.000 0.000 0.000
C1 C 0.817 0.311 0.637
N1 N 0.643 0.141 0.289
# Formation energy from raw total energies in eV/atom: 0.172
# Uncorrected energy in eV per atom: -6.92
# Offset from the most stable computed form in kJ/mol of formula units: 17.5

# Be2CN4, optimized geometry, DFT PBE
data_Be2CN4
_chemical_formula_sum 'Be4 C2 N8'
_space_group_name_H-M_alt 'I 4/m m m'
_space_group_IT_number 139
_space_group_name_Hall '-I 4 2'
_cell_length_a 3.944
_cell_length_b 3.944
_cell_length_c 7.621
_cell_angle_alpha 90.00
_cell_angle_beta 90.00
_cell_angle_gamma 90.00
loop_
_atom_site_label
_atom_site_type_symbol
_atom_site_fract_x
_atom_site_fract_y
_atom_site_fract_z
Be1 Be 0.000 0.000 0.128
C1 C 0.000 0.000 0.500
N1 N 0.000 0.000 0.336
N2 N 0.000 0.500 0.000
# Formation energy from raw total energies in eV/atom: 1.328
# Uncorrected energy in eV per atom: -5.81

# BeCN3, optimized geometry, DFT PBE
data_BeCN3
_chemical_formula_sum 'Be1 C1 N3'
_space_group_name_H-M_alt 'P m -3 m'
_space_group_IT_number 221
_space_group_name_Hall '-P 4 2 3'
_cell_length_a 3.403
_cell_length_b 3.403
_cell_length_c 3.403
_cell_angle_alpha 90.00
_cell_angle_beta 90.00
_cell_angle_gamma 90.00
loop_
_atom_site_label
_atom_site_type_symbol
_atom_site_fract_x
_atom_site_fract_y
_atom_site_fract_z
Be1 Be 0.000 0.000 0.000
C1 C 0.500 0.500 0.500
N1 N 0.000 0.000 0.500
# Formation energy from raw total energies in eV/atom: 2.923
# Uncorrected energy in eV per atom: -4.66

# BeCN, optimized geometry, DFT PBE
data_BeCN
_chemical_formula_sum 'Be1 C1 N1'
_space_group_name_H-M_alt 'P 1 m 1'
_space_group_IT_number 6
_cell_length_a 2.772
_cell_length_b 2.340
_cell_length_c 3.644
_cell_angle_alpha 90.00
_cell_angle_beta 112.32
_cell_angle_gamma 90.00
loop_
_space_group_symop_operation_xyz
'x,y,z'
'x,-y,z'
loop_
_atom_site_label
_atom_site_type_symbol
_atom_site_fract_x
_atom_site_fract_y
_atom_site_fract_z
Be1 Be 0.000 0.000 0.000
C1 C 0.681 0.000 0.371
N1 N 0.804 0.500 0.611
# Formation energy from raw total energies in eV/atom: 0.285
# Uncorrected energy in eV per atom: -6.81
# Offset from the most stable computed form in kJ/mol of formula units: 50.1

Question: The lowest formation energy from raw total energies belongs to which entry?
Answer: number 1

Question: formation energy from raw total energies of number 3 (BeCN3)?
Answer: 2.923 eV/atom

Please write out number 4 again, unchanged.
# BeCN, optimized geometry, DFT PBE
data_BeCN
_chemical_formula_sum 'Be1 C1 N1'
_space_group_name_H-M_alt 'P 1 m 1'
_space_group_IT_number 6
_cell_length_a 2.772
_cell_length_b 2.340
_cell_length_c 3.644
_cell_angle_alpha 90.00
_cell_angle_beta 112.32
_cell_angle_gamma 90.00
loop_
_space_group_symop_operation_xyz
'x,y,z'
'x,-y,z'
loop_
_atom_site_label
_atom_site_type_symbol
_atom_site_fract_x
_atom_site_fract_y
_atom_site_fract_z
Be1 Be 0.000 0.000 0.000
C1 C 0.681 0.000 0.371
N1 N 0.804 0.500 0.611
# Formation energy from raw total energies in eV/atom: 0.285
# Uncorrected energy in eV per atom: -6.81
# Offset from the most stable computed form in kJ/mol of formula units: 50.1